[1]
An optimized crystal structure of Ac2Al4HgGe3, computed with PBE-GGA.

Calculated values
calculated volume	23.12	Å³ per atom
VASP energy	-40.66	eV for the cell shown
magnetization	0.00	μB/f.u.
crystal system	tetragonal

a = 4.846 Å, b = 4.846 Å, c = 9.849 Å
α = 90.00°, β = 90.00°, γ = 90.00°
Fractional positions:
Ac  0.000  0.500  0.247
Ac  0.500  0.000  0.753
Al  0.000  0.000  0.500
Al  0.000  0.500  0.878
Al  0.500  0.000  0.122
Al  0.500  0.500  0.500
Hg  0.500  0.500  0.000
Ge  0.000  0.000  0.000
Ge  0.000  0.500  0.616
Ge  0.500  0.000  0.384

***

[2]
An optimized crystal structure of PrHo2Al3, computed with PBE-GGA.

Calculated values
calculated volume	26.06	Å³ per atom
VASP energy	-52.34	eV for the cell shown
magnetization	0.00	μB/f.u.
crystal system	orthorhombic

a = 5.989 Å, b = 10.424 Å, c = 5.010 Å
α = 90.00°, β = 90.00°, γ = 90.00°
Fractional positions:
Pr  0.000  0.000  0.000
Pr  0.500  0.500  0.000
Ho  0.000  0.334  0.000
Ho  0.000  0.666  0.000
Ho  0.500  0.166  0.000
Ho  0.500  0.834  0.000
Al  0.000  0.500  0.500
Al  0.250  0.250  0.500
Al  0.250  0.750  0.500
Al  0.500  0.000  0.500
Al  0.750  0.250  0.500
Al  0.750  0.750  0.500

***

[3]
An optimized crystal structure of MgTc2P, computed with PBE-GGA.

Calculated values
calculated volume	14.68	Å³ per atom
VASP energy	-116.24	eV for the cell shown
magnetization	0.00	μB/f.u.
crystal system	orthorhombic

a = 3.136 Å, b = 10.401 Å, c = 7.198 Å
α = 90.00°, β = 90.00°, γ = 90.00°
Fractional positions:
Mg  0.000  0.036  0.250
Mg  0.000  0.964  0.750
Mg  0.500  0.464  0.750
Mg  0.500  0.536  0.250
Tc  0.000  0.357  0.042
Tc  0.000  0.357  0.458
Tc  0.000  0.643  0.542
Tc  0.000  0.643  0.958
Tc  0.500  0.143  0.542
Tc  0.500  0.143  0.958
Tc  0.500  0.857  0.042
Tc  0.500  0.857  0.458
P  0.000  0.237  0.750
P  0.000  0.763  0.250
P  0.500  0.263  0.250
P  0.500  0.737  0.750